Entry from Alexandria via LeMat-Bulk: crystalline Pm3Nd6Er2Tm at its relaxed geometry (PBE).

Values from the calculation:
Symmetry: C2/m
DFT formation energy (meV per atom): 15
Density (g cm⁻³): 7.4
DFT total energy (eV/atom): -4.69
Total magnetization (μB/cell): 0.00

Unit cell a=6.3011 b=6.3011 c=11.9452 alpha=95.03 beta=95.03 gamma=120.01
Element x y z (fractional)
Pm  0.0000  0.0000  0.0000
Pm  0.3334  0.6666  0.0000
Pm  0.6666  0.3334  0.0000
Nd  0.0844  0.4175  0.2543
Nd  0.2494  0.2494  0.7457
Nd  0.4175  0.0844  0.2543
Nd  0.5825  0.9156  0.7457
Nd  0.7506  0.7506  0.2543
Nd  0.9156  0.5825  0.7457
Er  0.1666  0.8334  0.5000
Er  0.8334  0.1666  0.5000
Tm  0.5000  0.5000  0.5000

Entry from Alexandria via LeMat-Bulk: crystalline ScTaAs2 at its relaxed geometry (PBE).

Values from the calculation:
Symmetry: I-42d
DFT formation energy (meV per atom): -194
E above lowest polymorph (meV/atom): 682.8
Density (g cm⁻³): 5.9
DFT total energy (eV/atom): -7.07
Total magnetization (μB/cell): 0.00

Unit cell a=7.2347 b=7.2347 c=7.2347 alpha=131.19 beta=131.19 gamma=71.52
Element x y z (fractional)
Sc  0.0000  0.0000  0.0000
Sc  0.7500  0.2500  0.5000
Ta  0.2500  0.7500  0.5000
Ta  0.5000  0.5000  0.0000
As  0.1444  0.6250  0.0194
As  0.3750  0.3944  0.5194
As  0.6056  0.1250  0.9806
As  0.8750  0.8556  0.4806

Entry from Alexandria via LeMat-Bulk: crystalline CeAsSe2O at its relaxed geometry (PBE).

Values from the calculation:
Symmetry: P4/nmm
Formation energy (no corrections) (eV per formula unit): -7.89
Density (g cm⁻³): 6.2
DFT total energy (eV/atom): -6.08
Total magnetization (μB/cell): 1.04

Unit cell a=3.9316 b=3.9316 c=13.4573 alpha=90.00 beta=90.00 gamma=90.00
Element x y z (fractional)
Ce  0.2500  0.2500  0.0947
Ce  0.7500  0.7500  0.9053
As  0.2500  0.2500  0.6095
As  0.7500  0.7500  0.3905
Se  0.2500  0.2500  0.3939
Se  0.2500  0.2500  0.8000
Se  0.7500  0.7500  0.2000
Se  0.7500  0.7500  0.6061
O  0.2500  0.7500  0.0000
O  0.7500  0.2500  0.0000

Entry from Alexandria via LeMat-Bulk: crystalline LiCa2Ru at its relaxed geometry (PBE).

Values from the calculation:
Symmetry: F-43m
DFT formation energy (meV per atom): 360
Density (g cm⁻³): 3.6
DFT total energy (eV/atom): -3.44
Total magnetization (μB/cell): 0.00

Unit cell a=4.9743 b=4.9743 c=4.9743 alpha=60.00 beta=60.00 gamma=60.00
Element x y z (fractional)
Li  0.0000  0.0000  0.0000
Ca  0.2500  0.2500  0.2500
Ca  0.5000  0.5000  0.5000
Ru  0.7500  0.7500  0.7500

Entry from Alexandria via LeMat-Bulk: crystalline La5Tb8Sm at its relaxed geometry (PBE).

Values from the calculation:
Symmetry: C2/m
DFT formation energy (meV per atom): 54
Density (g cm⁻³): 7.4
DFT total energy (eV/atom): -4.69
Total magnetization (μB/cell): 0.00

Unit cell a=9.0067 b=9.0067 c=17.0593 alpha=117.53 beta=117.53 gamma=22.90
Element x y z (fractional)
La  0.0000  0.0000  0.0000
La  0.2880  0.2880  0.3564
La  0.3562  0.3562  0.0608
La  0.6438  0.6438  0.9392
La  0.7120  0.7120  0.6436
Tb  0.0754  0.0754  0.7212
Tb  0.1458  0.1458  0.4375
Tb  0.2166  0.2166  0.1460
Tb  0.4199  0.4199  0.7770
Tb  0.5801  0.5801  0.2230
Tb  0.7834  0.7834  0.8540
Tb  0.8542  0.8542  0.5625
Tb  0.9246  0.9246  0.2788
Sm  0.5000  0.5000  0.5000

Entry from Alexandria via LeMat-Bulk: crystalline Dy2YEr at its relaxed geometry (PBE).

Values from the calculation:
Symmetry: C2/m
DFT formation energy (meV per atom): 22
E above lowest polymorph (meV/atom): 10.9
Density (g cm⁻³): 7.7
DFT total energy (eV/atom): -5.04
Total magnetization (μB/cell): 0.00

Unit cell a=6.1290 b=6.1290 c=10.0130 alpha=114.11 beta=114.11 gamma=48.20
Element x y z (fractional)
Dy  0.1243  0.1243  0.4376
Dy  0.1255  0.1255  0.9373
Dy  0.8745  0.8745  0.0627
Dy  0.8757  0.8757  0.5624
Y  0.3747  0.3747  0.8116
Y  0.6253  0.6253  0.1884
Er  0.3753  0.3753  0.3134
Er  0.6247  0.6247  0.6866

Entry from Alexandria via LeMat-Bulk: crystalline Sm2DyHo6Tm at its relaxed geometry (PBE).

Values from the calculation:
Symmetry: C2/c
DFT formation energy (meV per atom): 117
Density (g cm⁻³): 8.5
DFT total energy (eV/atom): -4.48
Total magnetization (μB/cell): 0.00

Unit cell a=8.7249 b=8.7249 c=9.5961 alpha=94.41 beta=94.41 gamma=118.07
Element x y z (fractional)
Sm  0.1956  0.2993  0.0432
Sm  0.2993  0.1956  0.5432
Sm  0.7007  0.8044  0.4568
Sm  0.8044  0.7007  0.9568
Dy  0.0198  0.9802  0.2500
Dy  0.9802  0.0198  0.7500
Ho  0.0200  0.5735  0.1865
Ho  0.1253  0.7468  0.5569
Ho  0.2532  0.8747  0.9431
Ho  0.2917  0.5031  0.3804
Ho  0.4265  0.9800  0.3135
Ho  0.4969  0.7083  0.1196
Ho  0.5031  0.2917  0.8804
Ho  0.5735  0.0200  0.6865
Ho  0.7083  0.4969  0.6196
Ho  0.7468  0.1253  0.0569
Ho  0.8747  0.2532  0.4431
Ho  0.9800  0.4265  0.8135
Tm  0.4075  0.5925  0.7500
Tm  0.5925  0.4075  0.2500

Entry from Alexandria via LeMat-Bulk: crystalline LaSnS3 at its relaxed geometry (PBE).

Values from the calculation:
Symmetry: Imma
Formation energy (no corrections) (eV per formula unit): -5.38
E above lowest polymorph (meV/atom): 161.8
Density (g cm⁻³): 4.4
DFT total energy (eV/atom): -5.34
Total magnetization (μB/cell): 0.00

Unit cell a=7.7276 b=7.7276 c=7.7276 alpha=140.97 beta=85.09 gamma=107.99
Element x y z (fractional)
La  0.0000  0.0000  0.0000
La  0.5000  0.0000  0.5000
Sn  0.2601  0.5101  0.7500
Sn  0.7399  0.4899  0.2500
S  0.1650  0.9150  0.2500
S  0.2255  0.6568  0.5687
S  0.4119  0.3432  0.0687
S  0.5881  0.6568  0.9313
S  0.7745  0.3432  0.4313
S  0.8350  0.0850  0.7500

Entry from Alexandria via LeMat-Bulk: crystalline YTmAlZn at its relaxed geometry (PBE).

Values from the calculation:
Symmetry: P4mm
DFT formation energy (meV per atom): -394
E above lowest polymorph (meV/atom): 0.0
Density (g cm⁻³): 6.4
DFT total energy (eV/atom): -4.38
Total magnetization (μB/cell): 0.00

Unit cell a=3.5551 b=3.5551 c=7.1733 alpha=90.00 beta=90.00 gamma=90.00
Element x y z (fractional)
Y  0.0000  0.0000  0.0000
Tm  0.0000  0.0000  0.5101
Al  0.5000  0.5000  0.2601
Zn  0.5000  0.5000  0.7450

Entry from Alexandria via LeMat-Bulk: crystalline NaGa3Au10 at its relaxed geometry (PBE).

Values from the calculation:
Symmetry: I4/mmm
DFT formation energy (meV per atom): -80
Density (g cm⁻³): 13.2
DFT total energy (eV/atom): -3.16
Total magnetization (μB/cell): 0.00

Unit cell a=9.2145 b=9.2145 c=9.2145 alpha=119.97 beta=119.97 gamma=90.04
Element x y z (fractional)
Na  0.2500  0.7500  0.5000
Na  0.7500  0.2500  0.5000
Ga  0.2355  0.2355  0.0000
Ga  0.2357  0.2357  0.4713
Ga  0.2357  0.7643  0.0000
Ga  0.7643  0.2357  0.0000
Ga  0.7643  0.7643  0.5287
Ga  0.7645  0.7645  0.0000
Au  0.1175  0.3525  0.2351
Au  0.1175  0.8824  0.7649
Au  0.1176  0.8825  0.2351
Au  0.1523  0.1523  0.6525
Au  0.1523  0.4999  0.0000
Au  0.1523  0.5000  0.6523
Au  0.3525  0.1175  0.2351
Au  0.4999  0.1523  0.0000
Au  0.5000  0.1523  0.6523
Au  0.4999  0.4999  0.3475
Au  0.5001  0.5001  0.6525
Au  0.5001  0.8477  0.0000
Au  0.5000  0.8477  0.3477
Au  0.6475  0.8825  0.7649
Au  0.8477  0.5001  0.0000
Au  0.8477  0.5000  0.3477
Au  0.8477  0.8477  0.3475
Au  0.8824  0.1175  0.7649
Au  0.8825  0.1176  0.2351
Au  0.8825  0.6475  0.7649

Entry from Alexandria via LeMat-Bulk: crystalline Li6Cu2Ir at its relaxed geometry (PBE).

Values from the calculation:
Symmetry: P6/mmm
DFT formation energy (meV per atom): -81
E above lowest polymorph (meV/atom): 0.0
Density (g cm⁻³): 4.9
DFT total energy (eV/atom): -3.25
Total magnetization (μB/cell): 0.00

Unit cell a=7.4887 b=7.4887 c=2.5222 alpha=90.00 beta=90.00 gamma=120.00
Element x y z (fractional)
Li  0.0000  0.3284  0.0000
Li  0.0000  0.6716  0.0000
Li  0.3284  0.0000  0.0000
Li  0.3284  0.3284  0.0000
Li  0.6716  0.0000  0.0000
Li  0.6716  0.6716  0.0000
Cu  0.3333  0.6667  0.5000
Cu  0.6667  0.3333  0.5000
Ir  0.0000  0.0000  0.5000

Entry from Alexandria via LeMat-Bulk: crystalline Sr2ReTe at its relaxed geometry (PBE).

Values from the calculation:
Symmetry: F-43m
Formation energy (no corrections) (eV per formula unit): 2.33
E above lowest polymorph (meV/atom): 460.6
Density (g cm⁻³): 7.5
DFT total energy (eV/atom): -4.16
Total magnetization (μB/cell): 2.43

Unit cell a=5.3460 b=5.3460 c=5.3460 alpha=60.00 beta=60.00 gamma=60.00
Element x y z (fractional)
Sr  0.0000  0.0000  0.0000
Sr  0.2500  0.2500  0.2500
Re  0.5000  0.5000  0.5000
Te  0.7500  0.7500  0.7500

Entry from Alexandria via LeMat-Bulk: crystalline Pm3GeP at its relaxed geometry (PBE).

Values from the calculation:
Symmetry: Pm-3m
DFT formation energy (meV per atom): -567
E above lowest polymorph (meV/atom): 418.9
Density (g cm⁻³): 5.8
DFT total energy (eV/atom): -5.42
Total magnetization (μB/cell): 0.00

Unit cell a=5.3628 b=5.3628 c=5.3628 alpha=90.00 beta=90.00 gamma=90.00
Element x y z (fractional)
Pm  0.0000  0.0000  0.5000
Pm  0.0000  0.5000  0.0000
Pm  0.5000  0.0000  0.0000
Ge  0.5000  0.5000  0.5000
P  0.0000  0.0000  0.0000

Entry from Alexandria via LeMat-Bulk: crystalline NdGd2Ni at its relaxed geometry (PBE).

Values from the calculation:
Symmetry: P4/mmm
DFT formation energy (meV per atom): -149
E above lowest polymorph (meV/atom): 0.0
Density (g cm⁻³): 8.0
DFT total energy (eV/atom): -9.83
Total magnetization (μB/cell): 14.29

Unit cell a=3.4849 b=3.4849 c=8.8946 alpha=90.00 beta=90.00 gamma=90.00
Element x y z (fractional)
Nd  0.0000  0.0000  0.0000
Gd  0.5000  0.5000  0.3180
Gd  0.5000  0.5000  0.6820
Ni  0.0000  0.0000  0.5000

Entry from Alexandria via LeMat-Bulk: crystalline Tm2ZrIn at its relaxed geometry (PBE).

Values from the calculation:
Symmetry: Imm2
DFT formation energy (meV per atom): -179
E above lowest polymorph (meV/atom): 32.1
Density (g cm⁻³): 8.9
DFT total energy (eV/atom): -5.24
Total magnetization (μB/cell): 0.00

Unit cell a=5.8219 b=5.8219 c=5.8219 alpha=133.79 beta=133.61 gamma=67.55
Element x y z (fractional)
Tm  0.0000  0.0000  0.0000
Tm  0.7489  0.2489  0.5000
Zr  0.4976  0.4976  0.0000
In  0.2493  0.7493  0.5000

Entry from Alexandria via LeMat-Bulk: crystalline Li2NpTl3O9 at its relaxed geometry (PBE).

Values from the calculation:
Symmetry: P-3m1
Formation energy (no corrections) (eV per formula unit): -17.01
Density (g cm⁻³): 8.5
DFT total energy (eV/atom): -5.70
Total magnetization (μB/cell): 1.21

Unit cell a=5.5726 b=5.5726 c=7.3056 alpha=90.00 beta=90.00 gamma=120.00
Element x y z (fractional)
Li  0.3333  0.6667  0.1840
Li  0.6667  0.3333  0.8160
Np  0.0000  0.0000  0.5000
Tl  0.0000  0.0000  0.0000
Tl  0.3333  0.6667  0.7651
Tl  0.6667  0.3333  0.2349
O  0.0000  0.5000  0.0000
O  0.1630  0.3261  0.3341
O  0.1630  0.8370  0.3341
O  0.3261  0.1630  0.6659
O  0.5000  0.0000  0.0000
O  0.5000  0.5000  0.0000
O  0.6739  0.8370  0.3341
O  0.8370  0.1630  0.6659
O  0.8370  0.6739  0.6659

Entry from Alexandria via LeMat-Bulk: crystalline PPtBr2 at its relaxed geometry (PBE).

Values from the calculation:
Symmetry: I-42d
Formation energy (no corrections) (eV per formula unit): 2.95
Density (g cm⁻³): 7.0
DFT total energy (eV/atom): -2.96
Total magnetization (μB/cell): 0.00

Unit cell a=8.8440 b=8.8440 c=8.8440 alpha=148.89 beta=148.89 gamma=44.57
Element x y z (fractional)
P  0.0000  0.0000  0.0000
P  0.7500  0.2500  0.5000
Pt  0.2500  0.7500  0.5000
Pt  0.5000  0.5000  0.0000
Br  0.1273  0.6250  0.0023
Br  0.3750  0.3773  0.5023
Br  0.6227  0.1250  0.9977
Br  0.8750  0.8727  0.4977

Entry from Alexandria via LeMat-Bulk: crystalline Y2HgPt at its relaxed geometry (PBE).

Values from the calculation:
Symmetry: Imm2
DFT formation energy (meV per atom): -722
Density (g cm⁻³): 9.0
DFT total energy (eV/atom): -5.54
Total magnetization (μB/cell): 0.00

Unit cell a=7.5475 b=7.5475 c=7.5475 alpha=151.60 beta=148.70 gamma=42.77
Element x y z (fractional)
Y  0.0000  0.0000  0.0000
Y  0.7237  0.2237  0.5000
Hg  0.3286  0.8286  0.5000
Pt  0.5694  0.5694  0.0000

Entry from Alexandria via LeMat-Bulk: crystalline Pr8Y2Tm at its relaxed geometry (PBE).

Values from the calculation:
Symmetry: Cmmm
DFT formation energy (meV per atom): 163
E above lowest polymorph (meV/atom): 26.4
Density (g cm⁻³): 6.3
DFT total energy (eV/atom): -4.90
Total magnetization (μB/cell): 0.00

Unit cell a=10.1876 b=10.1876 c=5.8920 alpha=90.00 beta=90.00 gamma=140.42
Element x y z (fractional)
Pr  0.1070  0.8930  0.0000
Pr  0.1844  0.3601  0.5000
Pr  0.3163  0.6837  0.0000
Pr  0.3601  0.1844  0.5000
Pr  0.6399  0.8156  0.5000
Pr  0.6837  0.3163  0.0000
Pr  0.8156  0.6399  0.5000
Pr  0.8930  0.1070  0.0000
Y  0.2322  0.7678  0.5000
Y  0.7678  0.2322  0.5000
Tm  0.5000  0.5000  0.0000

Entry from Alexandria via LeMat-Bulk: crystalline Mo2OsRh at its relaxed geometry (PBE).

Values from the calculation:
Symmetry: Cmmm
DFT formation energy (meV per atom): -59
E above lowest polymorph (meV/atom): 15.4
Density (g cm⁻³): 13.4
DFT total energy (eV/atom): -10.12
Total magnetization (μB/cell): 0.00

Unit cell a=4.7826 b=4.7826 c=2.7767 alpha=90.00 beta=90.00 gamma=109.31
Element x y z (fractional)
Mo  0.0000  0.5000  0.0000
Mo  0.5000  0.0000  0.0000
Os  0.0000  0.0000  0.5000
Rh  0.5000  0.5000  0.5000

Entry from Alexandria via LeMat-Bulk: crystalline LiReNiIr at its relaxed geometry (PBE).

Values from the calculation:
Symmetry: F-43m
DFT formation energy (meV per atom): 27
Density (g cm⁻³): 14.0
DFT total energy (eV/atom): -7.22
Total magnetization (μB/cell): 0.86

Unit cell a=4.2060 b=4.2060 c=4.2060 alpha=60.00 beta=60.00 gamma=60.00
Element x y z (fractional)
Li  0.0000  0.0000  0.0000
Re  0.5000  0.5000  0.5000
Ni  0.2500  0.2500  0.2500
Ir  0.7500  0.7500  0.7500

Entry from Alexandria via LeMat-Bulk: crystalline RbGa8Ag6 at its relaxed geometry (PBE).

Values from the calculation:
Symmetry: R-3
DFT formation energy (meV per atom): 29
Density (g cm⁻³): 7.1
DFT total energy (eV/atom): -2.79
Total magnetization (μB/cell): 0.00

Unit cell a=7.0588 b=7.0588 c=7.0588 alpha=70.72 beta=70.72 gamma=70.72
Element x y z (fractional)
Rb  0.0000  0.0000  0.0000
Ga  0.1424  0.4823  0.7967
Ga  0.2033  0.8576  0.5177
Ga  0.2230  0.2230  0.2230
Ga  0.4823  0.7967  0.1424
Ga  0.5177  0.2033  0.8576
Ga  0.7770  0.7770  0.7770
Ga  0.7967  0.1424  0.4823
Ga  0.8576  0.5177  0.2033
Ag  0.1675  0.5801  0.3434
Ag  0.3434  0.1675  0.5801
Ag  0.4199  0.6566  0.8325
Ag  0.5801  0.3434  0.1675
Ag  0.6566  0.8325  0.4199
Ag  0.8325  0.4199  0.6566

Entry from Alexandria via LeMat-Bulk: crystalline Te3PdRh at its relaxed geometry (PBE).

Values from the calculation:
Symmetry: Cmc2_1
Formation energy (no corrections) (eV per formula unit): -1.94
E above lowest polymorph (meV/atom): 0.0
Density (g cm⁻³): 8.3
DFT total energy (eV/atom): -4.78
Total magnetization (μB/cell): 0.00

Unit cell a=10.7124 b=10.7124 c=5.5132 alpha=90.00 beta=90.00 gamma=158.01
Element x y z (fractional)
Te  0.0560  0.9440  0.5000
Te  0.2881  0.7119  0.0987
Te  0.3705  0.6295  0.5431
Te  0.6295  0.3705  0.0431
Te  0.7119  0.2881  0.5987
Te  0.9440  0.0560  0.0000
Pd  0.4817  0.5183  0.2990
Pd  0.5183  0.4817  0.7990
Rh  0.1745  0.8255  0.3119
Rh  0.8255  0.1745  0.8119